VASP calculation (PBE) on a relaxed structure of NaHo2Tc.

It has space group R-3m (No. 166, hexagonal axes), with a = 3.4606 Å, b = 3.4606 Å, c = 33.0913 Å, α = 90.00°, β = 90.00° and γ = 120.00°. The distinct sites, in fractional coordinates, are Na at (0.0000, 0.0000, 0.0000), Ho at (0.0000, 0.0000, 0.1070) and Tc at (0.0000, 0.0000, 0.5000).

The calculation puts the formation enthalpy at 0 K at 0.222 eV per atom. The total magnetization comes out at 0.00 μB/atom. The value obtained for the mass density is 6.54 Mg/m³.